# InSi2Rh

A relaxed structure of InSi2Rh (PBE-GGA, Alexandria).

Summary:
Total moment: 0.0 μB per formula unit
Density: 6.80 Mg/m³
Volume: 66.90 Å³ per cell
E_tot: -5.2954 eV/atom

The structure in POSCAR format:
```
InSi2Rh
1.0
2.983 0.000 0.000
0.000 2.983 0.000
0.000 0.000 7.516
In Si Rh
1 2 1
Direct
0.000 0.000 0.000
0.000 0.000 0.455
0.500 0.500 0.670
0.500 0.500 0.284
```